PBE Tb2Sm4Mg, optimized geometry; symmetry = P2_1/m (11); distance to the lowest polymorph of the same formula = 0.000 eV per atom; formation energy from the elements = 0.093 eV/atom
1.0
6.0515 0.0000 0.0000
0.0000 6.6393 0.0000
-3.0408 0.0000 11.1922
Tb Sm Mg
4 8 2
Direct
0.0964 0.2500 0.0039 Tb
0.2197 0.2500 0.5751 Tb
0.7803 0.7500 0.4249 Tb
0.9036 0.7500 0.9961 Tb
0.1410 0.0005 0.2846 Sm
0.1410 0.4995 0.2846 Sm
0.3507 0.7500 0.5584 Sm
0.4799 0.7500 0.1242 Sm
0.5201 0.2500 0.8758 Sm
0.6493 0.2500 0.4416 Sm
0.8590 0.9995 0.7154 Sm
0.8590 0.5005 0.7154 Sm
0.3539 0.7500 0.8350 Mg
0.6461 0.2500 0.1650 Mg

=====

PBE Be2FeBr, optimized geometry; symmetry = Fm-3m (225); distance to the lowest polymorph of the same formula = 0.838 eV per atom
1.0
0.0000 2.9449 2.9449
2.9449 0.0000 2.9449
2.9449 2.9449 0.0000
Be Fe Br
2 1 1
Direct
0.2500 0.2500 0.2500 Be
0.7500 0.7500 0.7500 Be
0.0000 0.0000 0.0000 Fe
0.5000 0.5000 0.5000 Br

=====

PBE Dy2PuHg6, optimized geometry; symmetry = C2/c (15); formation energy from the elements = -0.293 eV/atom
1.0
7.2520 -5.8544 0.0000
7.2520 5.8544 0.0000
-0.9341 0.0000 5.3734
Dy Pu Hg
4 2 12
Direct
0.0396 0.2914 0.0861 Dy
0.2914 0.0396 0.5861 Dy
0.7086 0.9604 0.4139 Dy
0.9604 0.7086 0.9139 Dy
0.3793 0.6207 0.7500 Pu
0.6207 0.3793 0.2500 Pu
0.0683 0.8223 0.4709 Hg
0.1497 0.3994 0.6399 Hg
0.1777 0.9317 0.0291 Hg
0.2565 0.5145 0.1961 Hg
0.3994 0.1497 0.1399 Hg
0.4855 0.7435 0.3039 Hg
0.5145 0.2565 0.6961 Hg
0.6006 0.8503 0.8601 Hg
0.7435 0.4855 0.8039 Hg
0.8223 0.0683 0.9709 Hg
0.8503 0.6006 0.3601 Hg
0.9317 0.1777 0.5291 Hg